Zn5C | PBE | relaxed

Cell and atoms, written as extended XYZ:
```
6
Lattice="2.734 0.000 0.000 0.000 2.734 0.000 0.000 0.000 11.024" Properties=species:S:1:pos:R:3 pbc="T T T"
Zn 0.000 0.000 0.000
Zn 0.000 0.000 4.161
Zn 0.000 0.000 6.863
Zn 1.367 1.367 2.064
Zn 1.367 1.367 8.960
C 1.367 1.367 5.512
```

For the formation energy, the calculation gives 0.63 eV/atom. The symmetry is P4/mmm, No. 123. The density of states at the Fermi level is 0.270 states/eV per atom. The spin magnetization comes out at 0.0 μB/f.u. As for the mass density: 6.8 Mg/m³.

ZnC | PBE | relaxed

Cell and atoms, written as extended XYZ:
```
4
Lattice="-1.279 1.537 6.028 1.279 -1.537 6.028 1.279 1.537 -6.028" Properties=species:S:1:pos:R:3 pbc="T T T"
Zn 0.000 0.768 1.107
Zn 1.279 0.768 4.921
C 1.279 -0.768 3.324
C 0.000 2.305 2.704
```

For the formation energy, the calculation gives 0.65 eV/atom. The symmetry is Imma, No. 74. The density of states at the Fermi level is 0.296 states/eV per atom. The spin magnetization comes out at 0.0 μB/f.u. As for the mass density: 5.4 Mg/m³.

Zn2C | PBE | relaxed

Cell and atoms, written as extended XYZ:
```
6
Lattice="3.074 0.000 0.000 -1.537 2.662 0.000 0.000 0.000 9.381" Properties=species:S:1:pos:R:3 pbc="T T T"
Zn 0.000 1.775 1.085
Zn 0.000 1.775 3.605
Zn 1.537 0.887 5.776
Zn 1.537 0.887 8.296
C 0.000 0.000 2.345
C 0.000 0.000 7.036
```

For the formation energy, the calculation gives 1.11 eV/atom. The symmetry is P6_3/mmc, No. 194. The density of states at the Fermi level is 0.630 states/eV per atom. The spin magnetization comes out at 0.0 μB/f.u. As for the mass density: 6.2 Mg/m³.

ZnC2 | PBE | relaxed

Cell and atoms, written as extended XYZ:
```
3
Lattice="2.379 0.000 0.000 0.000 2.379 0.000 0.000 0.000 5.352" Properties=species:S:1:pos:R:3 pbc="T T T"
Zn 0.000 0.000 0.000
C 0.000 1.189 2.676
C 1.189 0.000 2.676
```

For the formation energy, the calculation gives 1.91 eV/atom. The symmetry is P4/mmm, No. 123. The density of states at the Fermi level is 0.502 states/eV per atom. The spin magnetization comes out at 0.0 μB/f.u. As for the mass density: 4.9 Mg/m³.

Copy entry 4 word for word.
ZnC2 | PBE | relaxed

Cell and atoms, written as extended XYZ:
```
3
Lattice="2.379 0.000 0.000 0.000 2.379 0.000 0.000 0.000 5.352" Properties=species:S:1:pos:R:3 pbc="T T T"
Zn 0.000 0.000 0.000
C 0.000 1.189 2.676
C 1.189 0.000 2.676
```

For the formation energy, the calculation gives 1.91 eV/atom. The symmetry is P4/mmm, No. 123. The density of states at the Fermi level is 0.502 states/eV per atom. The spin magnetization comes out at 0.0 μB/f.u. As for the mass density: 4.9 Mg/m³.